Record 1
# GGA-PBE HgAsPb2, relaxed
data_HgAsPb2
_chemical_formula_sum 'Hg4 As4 Pb8'
_cell_length_a 7.5821
_cell_length_b 7.5821
_cell_length_c 7.5821
_cell_angle_alpha 90.00
_cell_angle_beta 90.00
_cell_angle_gamma 90.00
_space_group_name_H-M_alt 'F -4 3 m'
_space_group_IT_number 216
_space_group_name_Hall 'F -4 2 3'
loop_
_atom_site_label
_atom_site_fract_x
_atom_site_fract_y
_atom_site_fract_z
_atom_site_occupancy
Hg1 0.0000 0.0000 0.0000 1
As1 0.2500 0.2500 0.7500 1
Pb1 0.0000 0.0000 0.5000 1
Pb2 0.2500 0.2500 0.2500 1
# **Formation energy**: 0.208 eV per atom
# **Calculated total energy**: -46.14 eV/cell
# **Spin magnetization**: 0.0 μB per formula unit
# **Offset from the most stable computed form**: 211 meV/atom

=====

Record 2
# GGA-PBE ZnBRu2, relaxed
data_ZnBRu2
_chemical_formula_sum 'Zn4 B4 Ru8'
_cell_length_a 2.8922
_cell_length_b 11.2828
_cell_length_c 5.9354
_cell_angle_alpha 90.00
_cell_angle_beta 90.00
_cell_angle_gamma 90.00
_space_group_name_H-M_alt 'C m c m'
_space_group_IT_number 63
_space_group_name_Hall '-C 2c 2'
loop_
_atom_site_label
_atom_site_fract_x
_atom_site_fract_y
_atom_site_fract_z
_atom_site_occupancy
Zn1 0.0000 0.0018 0.2500 1
B1 0.0000 0.2115 0.7500 1
Ru1 0.0000 0.3509 0.5033 1
# **Formation energy**: -0.183 eV per atom
# **Calculated total energy**: -108.94 eV/cell
# **Spin magnetization**: 0.0 μB per formula unit
# **Offset from the most stable computed form**: 0 meV/atom

=====

Record 3
# GGA-PBE NaCo2H7, relaxed
data_NaCo2H7
_chemical_formula_sum 'Na2 Co4 H14'
_cell_length_a 4.9296
_cell_length_b 8.5435
_cell_length_c 3.2013
_cell_angle_alpha 90.00
_cell_angle_beta 90.00
_cell_angle_gamma 90.00
_space_group_name_H-M_alt 'C m m m'
_space_group_IT_number 65
_space_group_name_Hall '-C 2 2'
loop_
_atom_site_label
_atom_site_fract_x
_atom_site_fract_y
_atom_site_fract_z
_atom_site_occupancy
Na1 0.0000 0.0000 0.0000 1
Co1 0.0000 0.3099 0.5000 1
H1 0.0000 0.3357 0.0000 1
H2 0.0000 0.5000 0.5000 1
H3 0.1875 0.1511 0.5000 1
# **Calculated total energy**: -78.05 eV/cell
# **Spin magnetization**: 0.3 μB per formula unit

=====

Which formula does entry 2 have? ZnBRu2

=====

The lowest calculated total energy belongs to which entry? ZnBRu2